No. 1
Here is MgCrB2Mo after structural relaxation from Alexandria via LeMat-Bulk. Energies are from PBE-GGA.

Lattice parameters (Å, degrees): 3.982 4.252 3.982 90.00 90.00 90.00
Each line ends with the local moment (μB).
Positions (direct):
Cr 0.000 0.500 0.000  0.16
Mo 0.500 0.500 0.500  0.46
B 0.000 0.000 0.500  -0.01
B 0.500 0.000 0.000  0.00
Mg 0.000 0.000 0.000  0.00

Computed properties:
**Space group**: P4/mmm
**N(E_F)**: 5.84 states/eV/cell
**Calculated formation energy**: 2.333 eV/atom
**M_tot**: 0.67 μB per formula unit

---

No. 2
Here is K8Na2Li after structural relaxation from Alexandria via LeMat-Bulk. Energies are from PBE-GGA.

Lattice parameters (Å, degrees): 6.536 11.014 11.274 119.24 106.85 90.00
Positions (direct):
K 0.652 0.871 0.305
K 0.348 0.566 0.695
K 0.140 0.140 0.280
K 0.000 0.309 0.000
K 0.860 0.860 0.720
K 0.652 0.434 0.305
K 0.348 0.129 0.695
K 0.000 0.691 0.000
Na 0.201 0.702 0.403
Na 0.799 0.298 0.597
Li 0.500 0.000 0.000

Computed properties:
**Space group**: Immm
**N(E_F)**: 6.50 states/eV/cell
**Calculated formation energy**: 0.054 eV/atom
**M_tot**: 0.00 μB per formula unit

---

No. 3
Here is HfTa2Ni2 after structural relaxation from Alexandria via LeMat-Bulk. Energies are from PBE-GGA.

Lattice parameters (Å, degrees): 7.111 7.111 3.165 90.00 90.00 90.00
Positions (direct):
Ni 0.378 0.878 0.000
Ni 0.878 0.622 0.000
Ni 0.622 0.122 0.000
Ni 0.122 0.378 0.000
Hf 0.000 0.000 0.000
Hf 0.500 0.500 0.000
Ta 0.170 0.670 0.500
Ta 0.670 0.830 0.500
Ta 0.830 0.330 0.500
Ta 0.330 0.170 0.500

Computed properties:
**Space group**: P4/mbm
**N(E_F)**: 11.02 states/eV/cell
**Calculated formation energy**: -0.147 eV/atom
**E above lowest polymorph**: 0.0 meV/atom
**M_tot**: 0.00 μB per formula unit

---

No. 4
Here is TaP2S2 after structural relaxation from Alexandria via LeMat-Bulk. Energies are from PBE-GGA.

Lattice parameters (Å, degrees): 4.367 4.367 4.401 90.00 90.00 90.00
Each line ends with the local moment (μB).
Positions (direct):
P 0.000 0.000 0.000  0.01
P 0.000 0.000 0.500  -0.06
S 0.000 0.500 0.000  -0.07
S 0.500 0.000 0.000  -0.07
Ta 0.500 0.500 0.500  0.92

Computed properties:
**Space group**: P4/mmm
**N(E_F)**: 3.77 states/eV/cell
**E above lowest polymorph**: 449.4 meV/atom
**M_tot**: 1.11 μB per formula unit

---

No. 5
Here is TbPr2Cd after structural relaxation from Alexandria via LeMat-Bulk. Energies are from PBE-GGA.

Lattice parameters (Å, degrees): 5.602 5.602 5.602 60.00 60.00 60.00
Positions (direct):
Pr 0.250 0.250 0.250
Pr 0.750 0.750 0.750
Tb 0.000 0.000 0.000
Cd 0.500 0.500 0.500

Computed properties:
**Space group**: Fm-3m
**N(E_F)**: 5.98 states/eV/cell
**Calculated formation energy**: -0.042 eV/atom
**E above lowest polymorph**: 95.4 meV/atom
**M_tot**: 0.00 μB per formula unit

---

No. 6
Here is Zn2AgTe after structural relaxation from Alexandria via LeMat-Bulk. Energies are from PBE-GGA.

Lattice parameters (Å, degrees): 6.569 6.569 6.569 35.78 35.78 35.78
Positions (direct):
Ag 0.250 0.250 0.250
Te 0.750 0.750 0.750
Zn 0.994 0.994 0.994
Zn 0.506 0.506 0.506

Computed properties:
**Space group**: R-3m
**N(E_F)**: 1.41 states/eV/cell
**E above lowest polymorph**: 66.7 meV/atom
**M_tot**: 0.00 μB per formula unit

---

No. 7
Here is PmTm2InC after structural relaxation from Alexandria via LeMat-Bulk. Energies are from PBE-GGA.

Lattice parameters (Å, degrees): 5.082 4.855 4.855 90.00 90.00 90.00
Positions (direct):
Pm 0.500 0.000 0.000
Tm 0.000 0.000 0.500
Tm 0.000 0.500 0.000
In 0.500 0.500 0.500
C 0.000 0.000 0.000

Computed properties:
**Space group**: P4/mmm
**N(E_F)**: 1.34 states/eV/cell
**Calculated formation energy**: -0.475 eV/atom
**M_tot**: 0.00 μB per formula unit

---

No. 8
Here is Dy2Pa3S8 after structural relaxation from Alexandria via LeMat-Bulk. Energies are from PBE-GGA.

Lattice parameters (Å, degrees): 6.502 7.863 8.041 119.27 105.86 90.00
Each line ends with the local moment (μB).
Positions (direct):
Dy 0.335 0.259 0.519  0.07
Dy 0.665 0.741 0.481  0.07
Pa 0.500 0.000 0.000  1.32
Pa 0.000 0.246 0.000  1.08
Pa 0.000 0.754 0.000  1.08
S 0.900 0.608 0.216  -0.03
S 0.100 0.392 0.784  -0.03
S 0.925 0.126 0.252  -0.03
S 0.075 0.874 0.748  -0.03
S 0.581 0.636 0.745  -0.02
S 0.581 0.109 0.745  -0.02
S 0.419 0.891 0.255  -0.02
S 0.419 0.364 0.255  -0.02

Computed properties:
**Space group**: C2/m
**N(E_F)**: 12.61 states/eV/cell
**E_tot**: -7.1129 eV per atom
**M_tot**: 4.52 μB per formula unit

---

No. 9
Here is Li3Hg2Au after structural relaxation from Alexandria via LeMat-Bulk. Energies are from PBE-GGA.

Lattice parameters (Å, degrees): 3.287 3.287 9.642 90.00 90.00 90.00
Positions (direct):
Li 0.000 0.000 0.000
Li 0.000 0.000 0.648
Li 0.000 0.000 0.352
Hg 0.500 0.500 0.825
Hg 0.500 0.500 0.175
Au 0.500 0.500 0.500

Computed properties:
**Space group**: P4/mmm
**N(E_F)**: 2.03 states/eV/cell
**Calculated formation energy**: -0.423 eV/atom
**E above lowest polymorph**: 8.8 meV/atom
**M_tot**: 0.00 μB per formula unit

---

No. 10
Here is Nd2Y2Se3 after structural relaxation from Alexandria via LeMat-Bulk. Energies are from PBE-GGA.

Lattice parameters (Å, degrees): 4.033 7.163 7.072 98.88 106.57 90.00
Positions (direct):
Nd 0.880 0.614 0.761
Nd 0.120 0.386 0.239
Y 0.627 0.880 0.254
Y 0.373 0.120 0.746
Se 0.000 0.000 0.000
Se 0.748 0.241 0.495
Se 0.252 0.759 0.505

Computed properties:
**Space group**: C2/m
**N(E_F)**: 3.37 states/eV/cell
**E_tot**: -6.2264 eV per atom
**M_tot**: 0.00 μB per formula unit

---

No. 11
Here is TaZnCr2 after structural relaxation from Alexandria via LeMat-Bulk. Energies are from PBE-GGA.

Lattice parameters (Å, degrees): 4.543 4.543 4.543 128.59 128.59 75.67
Positions (direct):
Cr 0.000 0.000 0.000
Cr 0.250 0.750 0.500
Ta 0.500 0.500 0.000
Zn 0.750 0.250 0.500

Computed properties:
**Space group**: I-4m2
**N(E_F)**: 3.04 states/eV/cell
**Calculated formation energy**: 0.275 eV/atom
**M_tot**: 0.00 μB per formula unit

---

No. 12
Here is Au2SeBr after structural relaxation from Alexandria via LeMat-Bulk. Energies are from PBE-GGA.

Lattice parameters (Å, degrees): 4.858 4.858 3.850 90.00 90.00 108.61
Positions (direct):
Au 0.000 0.000 0.000
Au 0.500 0.500 0.000
Br 0.500 0.000 0.500
Se 0.000 0.500 0.500

Computed properties:
**Space group**: Cmmm
**N(E_F)**: 2.27 states/eV/cell
**E above lowest polymorph**: 429.4 meV/atom
**M_tot**: 0.00 μB per formula unit

---

Which formula does entry 11 have?
TaZnCr2